[1]
# PrGa7Cu12, optimized geometry, DFT PBE
# Final energy = -3.82 eV/atom
# Magnetic moment = 0.00 μB/f.u.
data_PrGa7Cu12
_chemical_formula_sum 'Pr1 Ga7 Cu12'
_cell_length_a 7.6045
_cell_length_b 7.6045
_cell_length_c 7.6045
_cell_angle_alpha 112.31
_cell_angle_beta 112.31
_cell_angle_gamma 112.31
_space_group_name_H-M_alt 'P 1'
_space_group_IT_number 1
_space_group_name_Hall 'P 1'
loop_
_atom_site_label
_atom_site_type_symbol
_atom_site_fract_x
_atom_site_fract_y
_atom_site_fract_z
Pr1 Pr 0.0000 0.0000 0.0000
Ga1 Ga 0.1938 0.1938 0.5408
Ga2 Ga 0.1938 0.5408 0.1938
Ga3 Ga 0.4592 0.8062 0.8062
Ga4 Ga 0.5000 0.5000 0.5000
Ga5 Ga 0.5408 0.1938 0.1938
Ga6 Ga 0.8062 0.4592 0.8062
Ga7 Ga 0.8062 0.8062 0.4592
Cu1 Cu 0.0000 0.2721 0.7279
Cu2 Cu 0.0000 0.7279 0.2721
Cu3 Cu 0.0545 0.3959 0.3959
Cu4 Cu 0.2721 0.0000 0.7279
Cu5 Cu 0.2721 0.7279 0.0000
Cu6 Cu 0.3959 0.0545 0.3959
Cu7 Cu 0.3959 0.3959 0.0545
Cu8 Cu 0.6041 0.6041 0.9455
Cu9 Cu 0.6041 0.9455 0.6041
Cu10 Cu 0.7279 0.0000 0.2721
Cu11 Cu 0.7279 0.2721 0.0000
Cu12 Cu 0.9455 0.6041 0.6041

---

[2]
# PrGa2Cu4, optimized geometry, DFT PBE
# Final energy = -4.14 eV/atom
# Energy relative to the lowest polymorph listed for this composition = 0 meV/atom
# Magnetic moment = 0.00 μB/f.u.
data_PrGa2Cu4
_chemical_formula_sum 'Pr1 Ga2 Cu4'
_cell_length_a 8.1623
_cell_length_b 8.1623
_cell_length_c 8.1623
_cell_angle_alpha 29.54
_cell_angle_beta 29.54
_cell_angle_gamma 29.54
_space_group_name_H-M_alt 'P 1'
_space_group_IT_number 1
_space_group_name_Hall 'P 1'
loop_
_atom_site_label
_atom_site_type_symbol
_atom_site_fract_x
_atom_site_fract_y
_atom_site_fract_z
Pr1 Pr 0.0000 0.0000 0.0000
Ga1 Ga 0.2493 0.2493 0.2493
Ga2 Ga 0.7507 0.7507 0.7507
Cu1 Cu 0.1427 0.1427 0.1427
Cu2 Cu 0.4444 0.4444 0.4444
Cu3 Cu 0.5556 0.5556 0.5556
Cu4 Cu 0.8573 0.8573 0.8573

---

[3]
# PrGa4Cu, optimized geometry, DFT PBE
# Final energy = -3.64 eV/atom
# Magnetic moment = 0.00 μB/f.u.
data_PrGa4Cu
_chemical_formula_sum 'Pr2 Ga8 Cu2'
_cell_length_a 10.8816
_cell_length_b 10.8816
_cell_length_c 10.8816
_cell_angle_alpha 153.28
_cell_angle_beta 153.28
_cell_angle_gamma 38.15
_space_group_name_H-M_alt 'P 1'
_space_group_IT_number 1
_space_group_name_Hall 'P 1'
loop_
_atom_site_label
_atom_site_type_symbol
_atom_site_fract_x
_atom_site_fract_y
_atom_site_fract_z
Pr1 Pr 0.3750 0.6250 0.7500
Pr2 Pr 0.6250 0.3750 0.2500
Ga1 Ga 0.2245 0.2285 0.5040
Ga2 Ga 0.2245 0.7204 0.9960
Ga3 Ga 0.2285 0.2245 0.0040
Ga4 Ga 0.2796 0.7755 0.5040
Ga5 Ga 0.7204 0.2245 0.4960
Ga6 Ga 0.7715 0.7755 0.9960
Ga7 Ga 0.7755 0.2796 0.0040
Ga8 Ga 0.7755 0.7715 0.4960
Cu1 Cu 0.1250 0.8750 0.2500
Cu2 Cu 0.8750 0.1250 0.7500

---

[4]
# Pr3Ga4Cu, optimized geometry, DFT PBE
# Final energy = -4.14 eV/atom
# Magnetic moment = 0.00 μB/f.u.
data_Pr3Ga4Cu
_chemical_formula_sum 'Pr6 Ga8 Cu2'
_cell_length_a 4.6641
_cell_length_b 5.2917
_cell_length_c 16.6707
_cell_angle_alpha 90.00
_cell_angle_beta 90.00
_cell_angle_gamma 90.00
_space_group_name_H-M_alt 'P 1'
_space_group_IT_number 1
_space_group_name_Hall 'P 1'
loop_
_atom_site_label
_atom_site_type_symbol
_atom_site_fract_x
_atom_site_fract_y
_atom_site_fract_z
Pr1 Pr 0.0000 0.0000 0.0000
Pr2 Pr 0.0000 0.5000 0.2079
Pr3 Pr 0.0000 0.5000 0.7921
Pr4 Pr 0.5000 0.0000 0.2921
Pr5 Pr 0.5000 0.0000 0.7079
Pr6 Pr 0.5000 0.5000 0.5000
Ga1 Ga 0.0000 0.2616 0.3822
Ga2 Ga 0.0000 0.2616 0.6178
Ga3 Ga 0.0000 0.7384 0.3822
Ga4 Ga 0.0000 0.7384 0.6178
Ga5 Ga 0.5000 0.2384 0.1178
Ga6 Ga 0.5000 0.2384 0.8822
Ga7 Ga 0.5000 0.7616 0.1178
Ga8 Ga 0.5000 0.7616 0.8822
Cu1 Cu 0.0000 0.0000 0.5000
Cu2 Cu 0.5000 0.5000 0.0000

---

[5]
# Pr6GaCu2, optimized geometry, DFT PBE
# Final energy = -4.60 eV/atom
# Magnetic moment = 0.00 μB/f.u.
data_Pr6GaCu2
_chemical_formula_sum 'Pr12 Ga2 Cu4'
_cell_length_a 8.7659
_cell_length_b 8.7659
_cell_length_c 8.7659
_cell_angle_alpha 112.57
_cell_angle_beta 108.07
_cell_angle_gamma 107.81
_space_group_name_H-M_alt 'P 1'
_space_group_IT_number 1
_space_group_name_Hall 'P 1'
loop_
_atom_site_label
_atom_site_type_symbol
_atom_site_fract_x
_atom_site_fract_y
_atom_site_fract_z
Pr1 Pr 0.0481 0.2419 0.8063
Pr2 Pr 0.1800 0.2724 0.4524
Pr3 Pr 0.1800 0.7276 0.9077
Pr4 Pr 0.3244 0.0288 0.7044
Pr5 Pr 0.3244 0.6200 0.2956
Pr6 Pr 0.4356 0.2419 0.1937
Pr7 Pr 0.5644 0.7581 0.8063
Pr8 Pr 0.6756 0.3800 0.7044
Pr9 Pr 0.6756 0.9712 0.2956
Pr10 Pr 0.8200 0.2724 0.0923
Pr11 Pr 0.8200 0.7276 0.5476
Pr12 Pr 0.9519 0.7581 0.1937
Ga1 Ga 0.0000 0.0000 0.0000
Ga2 Ga 0.5000 0.5000 0.0000
Cu1 Cu 0.1190 0.6190 0.5000
Cu2 Cu 0.3587 0.0000 0.3587
Cu3 Cu 0.6413 0.0000 0.6413
Cu4 Cu 0.8810 0.3810 0.5000

---

[6]
# PrGa4Cu2, optimized geometry, DFT PBE
# Final energy = -3.87 eV/atom
# Energy relative to the lowest polymorph listed for this composition = 84 meV/atom
# Magnetic moment = 0.00 μB/f.u.
data_PrGa4Cu2
_chemical_formula_sum 'Pr2 Ga8 Cu4'
_cell_length_a 7.8748
_cell_length_b 7.8748
_cell_length_c 4.0453
_cell_angle_alpha 90.00
_cell_angle_beta 90.00
_cell_angle_gamma 90.00
_space_group_name_H-M_alt 'P 1'
_space_group_IT_number 1
_space_group_name_Hall 'P 1'
loop_
_atom_site_label
_atom_site_type_symbol
_atom_site_fract_x
_atom_site_fract_y
_atom_site_fract_z
Pr1 Pr 0.0000 0.0000 0.0000
Pr2 Pr 0.5000 0.5000 0.5000
Ga1 Ga 0.0836 0.3286 0.5000
Ga2 Ga 0.1714 0.5836 0.0000
Ga3 Ga 0.3286 0.0836 0.5000
Ga4 Ga 0.4164 0.8286 0.0000
Ga5 Ga 0.5836 0.1714 0.0000
Ga6 Ga 0.6714 0.9164 0.5000
Ga7 Ga 0.8286 0.4164 0.0000
Ga8 Ga 0.9164 0.6714 0.5000
Cu1 Cu 0.2104 0.7896 0.5000
Cu2 Cu 0.2896 0.2896 0.0000
Cu3 Cu 0.7104 0.7104 0.0000
Cu4 Cu 0.7896 0.2104 0.5000

---

[7]
# Pr2GaCu5, optimized geometry, DFT PBE
# Final energy = -4.36 eV/atom
# Magnetic moment = 0.00 μB/f.u.
data_Pr2GaCu5
_chemical_formula_sum 'Pr4 Ga2 Cu10'
_cell_length_a 8.1222
_cell_length_b 8.1222
_cell_length_c 8.8640
_cell_angle_alpha 90.00
_cell_angle_beta 90.00
_cell_angle_gamma 149.35
_space_group_name_H-M_alt 'P 1'
_space_group_IT_number 1
_space_group_name_Hall 'P 1'
loop_
_atom_site_label
_atom_site_type_symbol
_atom_site_fract_x
_atom_site_fract_y
_atom_site_fract_z
Pr1 Pr 0.0000 0.0000 0.0000
Pr2 Pr 0.0000 0.0000 0.5000
Pr3 Pr 0.2103 0.7897 0.7500
Pr4 Pr 0.7897 0.2103 0.2500
Ga1 Ga 0.4393 0.5607 0.2500
Ga2 Ga 0.5607 0.4393 0.7500
Cu1 Cu 0.1780 0.8220 0.1118
Cu2 Cu 0.1780 0.8220 0.3882
Cu3 Cu 0.3456 0.6544 0.0189
Cu4 Cu 0.3456 0.6544 0.4811
Cu5 Cu 0.4020 0.5980 0.7500
Cu6 Cu 0.5980 0.4020 0.2500
Cu7 Cu 0.6544 0.3456 0.5189
Cu8 Cu 0.6544 0.3456 0.9811
Cu9 Cu 0.8220 0.1780 0.6118
Cu10 Cu 0.8220 0.1780 0.8882

---

[8]
# Pr3Ga3Cu, optimized geometry, DFT PBE
# Final energy = -4.44 eV/atom
# Magnetic moment = 0.00 μB/f.u.
data_Pr3Ga3Cu
_chemical_formula_sum 'Pr6 Ga6 Cu2'
_cell_length_a 5.9033
_cell_length_b 5.9033
_cell_length_c 14.8737
_cell_angle_alpha 109.15
_cell_angle_beta 109.15
_cell_angle_gamma 45.03
_space_group_name_H-M_alt 'P 1'
_space_group_IT_number 1
_space_group_name_Hall 'P 1'
loop_
_atom_site_label
_atom_site_type_symbol
_atom_site_fract_x
_atom_site_fract_y
_atom_site_fract_z
Pr1 Pr 0.0239 0.0239 0.2685
Pr2 Pr 0.1801 0.1801 0.5764
Pr3 Pr 0.3322 0.3322 0.8861
Pr4 Pr 0.6678 0.6678 0.1139
Pr5 Pr 0.8199 0.8199 0.4236
Pr6 Pr 0.9761 0.9761 0.7315
Ga1 Ga 0.0881 0.0881 0.9570
Ga2 Ga 0.3143 0.3143 0.2678
Ga3 Ga 0.4686 0.4686 0.5773
Ga4 Ga 0.5314 0.5314 0.4227
Ga5 Ga 0.6857 0.6857 0.7322
Ga6 Ga 0.9119 0.9119 0.0430
Cu1 Cu 0.3628 0.3628 0.1068
Cu2 Cu 0.6372 0.6372 0.8932